Entry 1:
# KAsSe3, relaxed, DFT PBE
data_KAsSe3
_chemical_formula_sum 'K2 As2 Se6'
_symmetry_space_group_name_H-M 'P 1 21 1'
_symmetry_Int_Tables_number 4
_symmetry_space_group_name_Hall 'P 2yb'
_cell_length_a 5.3305
_cell_length_b 6.3858
_cell_length_c 11.0838
_cell_angle_alpha 90.00
_cell_angle_beta 103.49
_cell_angle_gamma 90.00
loop_
_atom_site_label
_atom_site_type_symbol
_atom_site_fract_x
_atom_site_fract_y
_atom_site_fract_z
K1 K 0.1584 0.0000 0.3149
As1 As 0.4080 0.0539 0.8245
Se1 Se 0.0609 0.9987 0.6254
Se2 Se 0.4297 0.4070 0.8663
Se3 Se 0.4384 0.4970 0.3744
# DOS(E_F) (states/eV per cell): 4.9
# Calculated volume (A^3/atom): 36.69
# ΔE_f (raw) (eV per atom): -0.394
# Size of the total moment (μB/atom): 0.0000

Entry 2:
# Sc2CuNi2, relaxed, DFT PBE
data_Sc2CuNi2
_chemical_formula_sum 'Sc4 Cu2 Ni4'
_symmetry_space_group_name_H-M 'P 4/m b m'
_symmetry_Int_Tables_number 127
_symmetry_space_group_name_Hall '-P 4 2ab'
_cell_length_a 6.8019
_cell_length_b 6.8019
_cell_length_c 3.3981
_cell_angle_alpha 90.00
_cell_angle_beta 90.00
_cell_angle_gamma 90.00
loop_
_atom_site_label
_atom_site_type_symbol
_atom_site_fract_x
_atom_site_fract_y
_atom_site_fract_z
Sc1 Sc 0.1738 0.3262 0.0000
Cu1 Cu 0.0000 0.0000 0.5000
Ni1 Ni 0.1277 0.6277 0.5000
# DOS(E_F) (states/eV per cell): 6.7
# Energy relative to the elements (eV/atom): -0.389
# Calculated volume (A^3/atom): 15.72
# Size of the total moment (μB/atom): 0.0000